1.
# P6Pb4Se PBE optimized geometry
data_P6Pb4Se
_cell_length_a 3.429
_cell_length_b 13.134
_cell_length_c 12.381
_cell_angle_alpha 90.00
_cell_angle_beta 90.00
_cell_angle_gamma 90.00
_symmetry_space_group_name_H-M 'I m m 2'
_symmetry_Int_Tables_number 44
loop_
_symmetry_equiv_pos_as_xyz
'x,y,z'
'-x,-y,z'
'-x,y,z'
'x,-y,z'
'x+1/2,y+1/2,z+1/2'
'-x+1/2,-y+1/2,z+1/2'
'-x+1/2,y+1/2,z+1/2'
'x+1/2,-y+1/2,z+1/2'
loop_
_atom_site_label
_atom_site_type_symbol
_atom_site_fract_x
_atom_site_fract_y
_atom_site_fract_z
P1 P 0.000 0.082 0.000
P2 P 0.000 0.269 0.274
P3 P 0.000 0.321 0.838
Pb1 Pb 0.000 0.000 0.209
Pb2 Pb 0.000 0.241 0.552
Pb3 Pb 0.000 0.500 0.303
Se1 Se 0.000 0.000 0.607
# Uncorrected energy   -4.4514 eV/atom
# Crystal system   orthorhombic
# Formation energy from raw total energies   0.165 eV per atom
# M_tot   0.00 μB per cell

***

2.
# BaCu4Sn4 PBE optimized geometry
data_BaCu4Sn4
_cell_length_a 8.954
_cell_length_b 8.954
_cell_length_c 5.331
_cell_angle_alpha 90.00
_cell_angle_beta 90.00
_cell_angle_gamma 90.00
_symmetry_space_group_name_H-M 'P 42/n'
_symmetry_Int_Tables_number 86
loop_
_symmetry_equiv_pos_as_xyz
'x,y,z'
'-x,-y,-z'
'-y,x+1/2,z+1/2'
'y,-x+1/2,-z+1/2'
'-x+1/2,-y+1/2,z'
'x+1/2,y+1/2,-z'
'y+1/2,-x,z+1/2'
'-y+1/2,x,-z+1/2'
loop_
_atom_site_label
_atom_site_type_symbol
_atom_site_fract_x
_atom_site_fract_y
_atom_site_fract_z
Ba1 Ba 0.250 0.250 0.250
Cu1 Cu 0.074 0.916 0.144
Sn1 Sn 0.111 0.624 0.145
# Uncorrected energy   -3.9182 eV/atom
# ΔH_f (0 K)   -105 meV per atom
# Crystal system   tetragonal
# M_tot   0.00 μB per cell

***

3.
# AcPr6Hg2 PBE optimized geometry
data_AcPr6Hg2
_cell_length_a 17.815
_cell_length_b 11.697
_cell_length_c 5.828
_cell_angle_alpha 90.00
_cell_angle_beta 95.95
_cell_angle_gamma 90.00
_symmetry_space_group_name_H-M 'C 1 2/c 1'
_symmetry_Int_Tables_number 15
loop_
_symmetry_equiv_pos_as_xyz
'x,y,z'
'-x,-y,-z'
'-x,y,-z+1/2'
'x,-y,z+1/2'
'x+1/2,y+1/2,z'
'-x+1/2,-y+1/2,-z'
'-x+1/2,y+1/2,-z+1/2'
'x+1/2,-y+1/2,z+1/2'
loop_
_atom_site_label
_atom_site_type_symbol
_atom_site_fract_x
_atom_site_fract_y
_atom_site_fract_z
Ac1 Ac 0.000 0.186 0.250
Pr1 Pr 0.076 0.404 0.603
Pr2 Pr 0.110 0.106 0.790
Pr3 Pr 0.237 0.112 0.333
Hg1 Hg 0.168 0.354 0.124
# Uncorrected energy   -3.8219 eV/atom
# ΔH_f (0 K)   -112 meV per atom
# Crystal system   monoclinic
# Offset from the most stable computed form   0.0932 eV per atom
# M_tot   0.00 μB per cell

***

> What is the uncorrected energy in the first record?

-4.4514 eV/atom